(1)
# GdErAgRh

Crystalline GdErAgRh at its relaxed geometry (PBE, the Alexandria database).

```
GdErAgRh
1.0
-0.8698 4.3653 -2.2622
-0.3499 0.2069 -4.9764
-4.4202 0.8563 -2.1584
Gd Rh Ag Er
1 1 1 1
Cartesian
-1.4100 1.3571 -2.3492
0.0000 0.0000 0.0000
-2.8200 2.7142 -4.6985
-4.2299 4.0714 -7.0477
```

Summary:
density of states at the Fermi level: 3.41 states/eV/f.u.
space-group type: No. 216
energy of formation from the pure elements: -0.56 eV/atom
final energy: -7.7726 eV per atom

(2)
# TbGdOs4

Crystalline TbGdOs4 at its relaxed geometry (PBE, the Alexandria database).

```
TbGdOs4
1.0
-3.1405 -3.9546 -1.8389
2.0554 -4.8945 -0.8379
-1.3593 -4.0744 3.2303
Tb Gd Os
1 1 4
Cartesian
0.0000 0.0000 0.0000
-0.6111 -3.2309 0.1384
-0.8480 -6.0399 -1.2696
-2.5559 -5.6297 0.7650
-1.5279 -8.0777 0.3459
0.0428 -6.0998 1.2656
```

Summary:
density of states at the Fermi level: 5.43 states/eV/f.u.
space-group type: No. 216
energy of formation from the pure elements: -0.24 eV/atom
final energy: -10.8411 eV per atom

(3)
# SrSm2P

Crystalline SrSm2P at its relaxed geometry (PBE, the Alexandria database).

```
SrSm2P
1.0
3.9857 0.0000 0.0000
1.9929 3.4517 0.0000
1.9929 1.1506 10.6059
Sr Sm P
1 2 1
Cartesian
0.0000 0.0000 0.0000
1.9929 1.1506 6.8796
5.9786 3.4517 3.7263
3.9857 2.3012 5.3029
```

Summary:
density of states at the Fermi level: 5.42 states/eV/f.u.
space-group type: No. 166
energy of formation from the pure elements: -0.60 eV/atom
final energy: -4.7338 eV per atom

(4)
# SrSnSeBr2

Crystalline SrSnSeBr2 at its relaxed geometry (PBE, the Alexandria database).

```
SrSnSeBr2
1.0
-1.5842 -4.1525 3.5074
3.1492 -3.6789 -2.9331
4.7498 1.2117 3.5799
Sr Se Sn Br
1 1 1 2
Cartesian
0.0000 0.0000 0.0000
2.3749 0.6058 1.7900
3.1574 -3.3099 2.0771
1.5746 -1.8395 -1.4666
-0.7921 -2.0763 1.7537
```

Summary:
energy above the most stable polymorph in this dataset: 0.92 eV per formula unit
density of states at the Fermi level: 0.13 states/eV/f.u.
space-group type: No. 123
final energy: -3.2300 eV per atom

(5)
# LaSb2MoC

Crystalline LaSb2MoC at its relaxed geometry (PBE, the Alexandria database).

```
LaSb2MoC
1.0
-4.2435 -2.1410 -1.8889
2.2323 -1.7950 -2.9805
0.7235 -4.0796 2.9988
Sb Mo C La
2 1 1 1
Cartesian
0.3618 -2.0398 1.4994
-2.1218 -1.0705 -0.9444
1.1162 -0.8975 -1.4903
0.0000 0.0000 0.0000
-0.6438 -4.0078 -0.9353
```

Summary:
density of states at the Fermi level: 4.84 states/eV/f.u.
space-group type: No. 123
final energy: -6.3757 eV per atom

(6)
# La2Y5Tm6

Crystalline La2Y5Tm6 at its relaxed geometry (PBE, the Alexandria database).

```
La2Y5Tm6
1.0
3.5773 0.0000 0.0000
0.0000 11.6688 0.0000
0.0000 0.0000 20.2860
La Y Tm
4 10 12
Cartesian
0.0000 3.8548 5.6146
0.0000 7.8139 14.6714
0.0000 9.6892 4.5284
0.0000 1.9795 15.7576
1.7886 3.5034 9.0113
1.7886 8.1654 11.2747
1.7886 9.3378 1.1317
1.7886 2.3310 19.1543
1.7886 6.9026 5.7603
1.7886 4.7662 14.5257
1.7886 1.0682 4.3827
1.7886 10.6005 15.9033
1.7886 5.8344 0.0000
1.7886 0.0000 10.1430
0.0000 0.8529 7.3164
0.0000 10.8159 12.9695
0.0000 6.6872 2.8265
0.0000 4.9815 17.4594
1.7886 3.7052 2.4597
1.7886 7.9635 17.8263
1.7886 9.5396 7.6833
1.7886 2.1291 12.6026
0.0000 6.5722 8.6586
0.0000 5.0965 11.6274
0.0000 0.7378 1.4844
0.0000 10.9309 18.8015
```

Summary:
density of states at the Fermi level: 19.68 states/eV/f.u.
space-group type: No. 55
energy of formation from the pure elements: 0.11 eV/atom
final energy: -5.2005 eV per atom